No. 1
An optimized crystal structure of LiMg5Zn2, computed with PBE-GGA.

Cell: 4.727 4.727 17.135 Å, 90.00 90.00 120.00°
Fractional positions:
Mg: 0.000 0.000 0.346
Mg: 0.000 0.000 0.846
Zn: 0.333 0.667 0.105
Li: 0.667 0.333 0.750
Mg: 0.667 0.333 0.056
Mg: 0.333 0.667 0.944
Mg: 0.333 0.667 0.750
Zn: 0.333 0.667 0.395
Zn: 0.667 0.333 0.895
Zn: 0.667 0.333 0.605
Mg: 0.667 0.333 0.250
Mg: 0.000 0.000 0.154
Mg: 0.000 0.000 0.654
Mg: 0.333 0.667 0.556
Li: 0.333 0.667 0.250
Mg: 0.667 0.333 0.444

Calculated values
The calculation puts the offset from the most stable computed form at 31 meV per atom.

=====

No. 2
An optimized crystal structure of CaHoOs, computed with PBE-GGA.

Cell: 6.861 7.359 7.665 Å, 90.00 90.00 117.78°
Fractional positions:
Ca: 0.803 0.607 0.390
Ho: 0.289 0.078 0.250
Ho: 0.211 0.922 0.750
Os: 0.410 0.821 0.461
Ca: 0.303 0.607 0.110
Ca: 0.697 0.393 0.890
Ca: 0.197 0.393 0.610
Ho: 0.789 0.078 0.250
Os: 0.910 0.821 0.039
Ho: 0.711 0.922 0.750
Os: 0.090 0.179 0.961
Os: 0.590 0.179 0.539

=====

| no. | formation energy (eV/atom) | final energy (eV/atom) | density of states at the Fermi level (states/eV/atom) |
| --- | --- | --- | --- |
| 1 | 0.00 | -1.558 | 0.37 |
| 2 | 0.12 | -5.815 | 0.94 |